Record 1
A plane-wave DFT calculation with PBEsol was carried out for crystalline LiLa2Co at its relaxed geometry.

Unit cell a=3.366 b=4.618 c=6.745 alpha=110.02 beta=104.45 gamma=90.00
Element x y z (fractional)
Co1 0.748 0.248 0.496
La1 0.259 0.759 0.518
La2 0.067 0.067 0.133
Li1 0.426 0.426 0.853

## Properties
Energy relative to the elements, eV/atom: 0.10
SG: Imm2, No. 44

Record 2
A plane-wave DFT calculation with PBEsol was carried out for crystalline Ba2Mg at its relaxed geometry.

Unit cell a=11.550 b=11.550 c=11.550 alpha=60.00 beta=60.00 gamma=60.00
Element x y z (fractional)
Ba1 0.811 0.811 0.189
Ba2 0.439 0.061 0.061
Ba3 0.061 0.439 0.061
Ba4 0.189 0.811 0.811
Ba5 0.189 0.189 0.811
Ba6 0.061 0.439 0.439
Ba7 0.061 0.061 0.439
Ba8 0.625 0.125 0.625
Ba9 0.125 0.625 0.625
Ba10 0.811 0.189 0.189
Ba11 0.189 0.811 0.189
Ba12 0.811 0.189 0.811
Ba13 0.439 0.061 0.439
Ba14 0.625 0.625 0.625
Ba15 0.439 0.439 0.061
Ba16 0.625 0.625 0.125
Mg1 0.423 0.423 0.732
Mg2 0.423 0.423 0.423
Mg3 0.827 0.518 0.827
Mg4 0.518 0.827 0.827
Mg5 0.827 0.827 0.827
Mg6 0.827 0.827 0.518
Mg7 0.732 0.423 0.423
Mg8 0.423 0.732 0.423

## Properties
Energy relative to the elements, eV/atom: 0.00
SG: Fd-3m, No. 227

Record 3
A plane-wave DFT calculation with PBEsol was carried out for crystalline YRe2Au2 at its relaxed geometry.

Unit cell a=4.244 b=4.244 c=6.233 alpha=109.91 beta=109.91 gamma=90.00
Element x y z (fractional)
Au1 0.250 0.750 0.500
Au2 0.750 0.250 0.500
Re1 0.602 0.602 0.204
Re2 0.398 0.398 0.796
Y1 0.000 0.000 0.000

## Properties
Energy relative to the elements, eV/atom: 0.24
SG: I4/mmm, No. 139

Record 4
A plane-wave DFT calculation with PBEsol was carried out for crystalline SrRePt at its relaxed geometry.

Unit cell a=4.658 b=4.658 c=4.658 alpha=60.00 beta=60.00 gamma=60.00
Element x y z (fractional)
Re1 0.500 0.500 0.500
Pt1 0.000 0.000 0.000
Sr1 0.250 0.250 0.250

## Properties
Energy relative to the elements, eV/atom: 1.94
SG: F-43m, No. 216

Record 5
A plane-wave DFT calculation with PBEsol was carried out for crystalline TlSbTe2Pt at its relaxed geometry.

Unit cell a=5.497 b=5.507 c=5.507 alpha=90.00 beta=90.00 gamma=90.00
Element x y z (fractional)
Te1 0.000 0.000 0.500
Te2 0.000 0.500 0.000
Sb1 0.500 0.000 0.000
Pt1 0.500 0.500 0.500
Tl1 0.000 0.000 0.000

## Properties
Formation energy (no corrections), kJ per mole of atoms: 142
SG: P4/mmm, No. 123

Record 6
A plane-wave DFT calculation with PBEsol was carried out for crystalline ScSbTe2N at its relaxed geometry.

Unit cell a=3.923 b=5.684 c=5.684 alpha=90.00 beta=90.00 gamma=90.00
Element x y z (fractional)
Sc1 0.500 0.500 0.500
N1 0.500 0.000 0.000
Sb1 0.000 0.000 0.000
Te1 0.000 0.500 0.000
Te2 0.000 0.000 0.500

## Properties
Formation energy (no corrections), kJ per mole of atoms: 41
ΔE to the lowest computed polymorph, eV/atom: 0.000
SG: P4/mmm, No. 123

Record 7
A plane-wave DFT calculation with PBEsol was carried out for crystalline TbAg3 at its relaxed geometry.

Unit cell a=4.783 b=6.168 c=6.168 alpha=120.00 beta=90.00 gamma=90.00
Element x y z (fractional)
Tb1 0.250 0.667 0.333
Tb2 0.750 0.333 0.667
Ag1 0.250 0.156 0.312
Ag2 0.250 0.688 0.844
Ag3 0.750 0.312 0.156
Ag4 0.750 0.844 0.688
Ag5 0.750 0.844 0.156
Ag6 0.250 0.156 0.844

## Properties
ΔE to the lowest computed polymorph, eV/atom: 0.013
Energy relative to the elements, eV/atom: -0.22
SG: P6_3/mmc, No. 194

Record 8
A plane-wave DFT calculation with PBEsol was carried out for crystalline Ta4FeCoO12 at its relaxed geometry.

Unit cell a=4.761 b=4.761 c=9.007 alpha=90.00 beta=90.00 gamma=89.90
Element x y z (fractional)
Co1 0.000 0.000 0.000
Ta1 0.500 0.500 0.168
Ta2 0.500 0.500 0.832
Ta3 0.000 0.000 0.328
Ta4 0.000 0.000 0.672
O1 0.693 0.307 0.000
O2 0.296 0.704 0.673
O3 0.794 0.794 0.826
O4 0.307 0.693 0.000
O5 0.206 0.206 0.826
O6 0.296 0.704 0.327
O7 0.704 0.296 0.327
O8 0.206 0.206 0.174
O9 0.704 0.296 0.673
O10 0.192 0.192 0.500
O11 0.794 0.794 0.174
O12 0.808 0.808 0.500
Fe1 0.500 0.500 0.500

## Properties
Formation energy (no corrections), kJ per mole of atoms: -230
SG: Cmmm, No. 65

Record 9
A plane-wave DFT calculation with PBEsol was carried out for crystalline ReNiRu at its relaxed geometry.

Unit cell a=2.666 b=2.666 c=6.360 alpha=90.00 beta=90.00 gamma=120.00
Element x y z (fractional)
Ru1 0.667 0.333 0.333
Re1 0.333 0.667 0.668
Ni1 0.000 0.000 0.999

## Properties
ΔE to the lowest computed polymorph, eV/atom: 0.094
Energy relative to the elements, eV/atom: 0.09
SG: P3m1, No. 156

Record 10
A plane-wave DFT calculation with PBEsol was carried out for crystalline BeIrSe4 at its relaxed geometry.

Unit cell a=5.394 b=5.394 c=5.394 alpha=60.00 beta=60.00 gamma=60.00
Element x y z (fractional)
Ir1 0.000 0.000 0.000
Se1 0.877 0.374 0.374
Se2 0.374 0.374 0.877
Se3 0.374 0.374 0.374
Se4 0.374 0.877 0.374
Be1 0.750 0.750 0.750

## Properties
Formation energy (no corrections), kJ per mole of atoms: 125
SG: F-43m, No. 216

Record 11
A plane-wave DFT calculation with PBEsol was carried out for crystalline Ba2AsO at its relaxed geometry.

Unit cell a=6.855 b=6.855 c=6.855 alpha=101.91 beta=113.38 gamma=113.38
Element x y z (fractional)
Ba1 0.422 0.875 0.797
Ba2 0.578 0.375 0.453
Ba3 0.922 0.547 0.125
Ba4 0.078 0.203 0.625
O1 0.500 0.250 0.750
O2 0.000 0.500 0.500
As1 0.500 0.750 0.250
As2 0.000 0.000 0.000

## Properties
Formation energy (no corrections), kJ per mole of atoms: -146
SG: I-42d, No. 122

Record 12
A plane-wave DFT calculation with PBEsol was carried out for crystalline RbReTc2Br at its relaxed geometry.

Unit cell a=4.571 b=4.571 c=5.442 alpha=90.00 beta=90.00 gamma=90.00
Element x y z (fractional)
Tc1 0.000 0.500 0.000
Tc2 0.500 0.000 0.000
Rb1 0.000 0.000 0.500
Br1 0.000 0.000 0.000
Re1 0.500 0.500 0.500

## Properties
Formation energy (no corrections), kJ per mole of atoms: 242
SG: P4/mmm, No. 123

Going through the records in order, we get total magnetic moment values of 0.0000; 0.0000; 0.0002; 1.0736; 0.0005; 0.0652; 0.0000; 0.3889; 0.0000; 0.0000; 0.2545; 0.5380 μB per atom.